# 1
Computed, not measured: a geometry-optimized K4Pr3PuSe8 structure at the PBE level of DFT.

Cell lengths 8.7325, 9.1931, 8.7328 Å; angles 118.36, 120.00, 90.00 degrees
Atoms (fractional coordinates):
Pr (0.5000, 0.5000, 0.5000)
K (0.0000, 0.0000, 0.0000)
Se (0.2621, 0.2864, 0.5242)
K (0.5000, 0.0000, 0.5000)
Se (0.7379, 0.7136, 0.4758)
Se (0.7415, 0.7094, 0.9755)
Se (0.2585, 0.2906, 0.0245)
K (0.5000, 0.0000, 0.0000)
Se (0.2340, 0.7094, 0.4680)
Se (0.7660, 0.2906, 0.0245)
K (0.0000, 0.0000, 0.5000)
Pu (0.0000, 0.5000, 0.0000)
Pr (0.5000, 0.5000, 0.0000)
Pr (0.0000, 0.5000, 0.5000)
Se (0.2340, 0.7094, 0.9755)
Se (0.7660, 0.2906, 0.5320)

Values from the calculation:
formation energy (no corrections)	-1.668	eV/atom
DOS at the Fermi energy	12.898	states/eV per cell



# 2
Computed, not measured: a geometry-optimized Pr3TmCd3 structure at the PBE level of DFT.

Cell lengths 7.1688, 7.1688, 8.7384 Å; angles 94.34, 94.34, 104.96 degrees
Atoms (fractional coordinates):
Tm (0.2987, 0.2987, 0.0272)
Pr (0.2444, 0.7556, 0.0000)
Pr (0.6381, 0.6381, 0.3656)
Cd (0.8893, 0.5498, 0.7139)
Pr (0.7556, 0.2444, 0.0000)
Cd (0.5498, 0.8893, 0.7139)
Pr (0.8260, 0.1740, 0.5000)
Pr (0.1740, 0.8260, 0.5000)
Cd (0.1107, 0.4502, 0.2861)
Cd (0.9961, 0.9961, 0.7939)
Cd (0.4502, 0.1107, 0.2861)
Tm (0.7013, 0.7013, 0.9728)
Cd (0.0039, 0.0039, 0.2061)
Pr (0.3619, 0.3619, 0.6344)

Values from the calculation:
ΔE_f	-108	meV per atom
DOS at the Fermi energy	15.442	states/eV per cell



# 3
Computed, not measured: a geometry-optimized NaCd5Pd2 structure at the PBE level of DFT.

Cell lengths 4.0178, 7.0704, 7.0704 Å; angles 73.90, 73.49, 73.49 degrees
Atoms (fractional coordinates):
Cd (0.0000, 0.5000, 0.5000)
Cd (0.6490, 0.5469, 0.1551)
Pd (0.7405, 0.7595, 0.7595)
Na (0.0000, 0.0000, 0.0000)
Pd (0.2595, 0.2405, 0.2405)
Cd (0.3510, 0.4531, 0.8449)
Cd (0.3510, 0.8449, 0.4531)
Cd (0.6490, 0.1551, 0.5469)

Values from the calculation:
ΔE_f	-183	meV per atom
DOS at the Fermi energy	2.594	states/eV per cell



# 4
Computed, not measured: a geometry-optimized GeSb2PbI structure at the PBE level of DFT.

Cell lengths 5.4436, 5.4436, 5.6705 Å; angles 90.00, 90.00, 90.00 degrees
Atoms (fractional coordinates):
Ge (0.0000, 0.0000, 0.0000)
Sb (0.0000, 0.5000, 0.0000)
I (0.0000, 0.0000, 0.5000)
Pb (0.5000, 0.5000, 0.5000)
Sb (0.5000, 0.0000, 0.0000)

Values from the calculation:
formation energy (no corrections)	0.414	eV/atom
DOS at the Fermi energy	4.598	states/eV per cell
excess energy over the best structure of this formula in the dataset	0	kJ/mol of formula units



# 5
Computed, not measured: a geometry-optimized Ba2CrCo structure at the PBE level of DFT.

Cell lengths 5.4386, 5.4386, 5.4386 Å; angles 60.00, 60.00, 60.00 degrees
Atoms (fractional coordinates):
Cr (0.7500, 0.7500, 0.7500)
Co (0.5000, 0.5000, 0.5000)
Ba (0.2500, 0.2500, 0.2500)
Ba (0.0000, 0.0000, 0.0000)

Values from the calculation:
ΔE_f	948	meV per atom
DOS at the Fermi energy	10.022	states/eV per cell
excess energy over the best structure of this formula in the dataset	194	kJ/mol of formula units



# 6
Computed, not measured: a geometry-optimized ThNi3B structure at the PBE level of DFT.

Cell lengths 3.7775, 3.7774, 5.4629 Å; angles 69.77, 69.77, 90.00 degrees
Atoms (fractional coordinates):
Ni (0.1340, 0.4375, 0.4373)
Ni (0.6340, 0.9375, 0.4373)
Ni (0.8081, 0.6116, 0.0891)
Th (0.3981, 0.2016, 0.9092)
B (0.0336, 0.8370, 0.6382)

Values from the calculation:
ΔE_f	-440	meV per atom
DOS at the Fermi energy	3.434	states/eV per cell



# 7
Computed, not measured: a geometry-optimized Fe2Ni2Pt structure at the PBE level of DFT.

Cell lengths 6.7795, 6.7795, 2.7250 Å; angles 90.00, 90.00, 90.00 degrees
Atoms (fractional coordinates):
Fe (0.8284, 0.3284, 0.5000)
Fe (0.1716, 0.6716, 0.5000)
Fe (0.6716, 0.8284, 0.5000)
Ni (0.8745, 0.6255, 0.0000)
Pt (0.0000, 0.0000, 0.0000)
Pt (0.5000, 0.5000, 0.0000)
Ni (0.3745, 0.8745, 0.0000)
Ni (0.6255, 0.1255, 0.0000)
Fe (0.3284, 0.1716, 0.5000)
Ni (0.1255, 0.3745, 0.0000)

Values from the calculation:
ΔE_f	-48	meV per atom
DOS at the Fermi energy	7.519	states/eV per cell
excess energy over the best structure of this formula in the dataset	0	kJ/mol of formula units



# 8
Computed, not measured: a geometry-optimized NdZn4Pd8 structure at the PBE level of DFT.

Cell lengths 5.3180, 6.8220, 6.8220 Å; angles 81.26, 67.06, 67.06 degrees
Atoms (fractional coordinates):
Pd (0.6575, 0.3425, 0.3425)
Nd (0.0000, 0.0000, 0.0000)
Pd (0.5000, 0.2231, 0.7769)
Zn (0.5000, 0.0000, 0.5000)
Pd (0.7231, 0.7769, 0.7769)
Pd (0.0000, 0.6575, 0.3425)
Zn (0.0000, 0.5000, 0.0000)
Pd (0.3425, 0.6575, 0.6575)
Zn (0.5000, 0.5000, 0.0000)
Pd (0.0000, 0.3425, 0.6575)
Pd (0.2769, 0.2231, 0.2231)
Zn (0.0000, 0.0000, 0.5000)
Pd (0.5000, 0.7769, 0.2231)

Values from the calculation:
ΔE_f	-557	meV per atom
DOS at the Fermi energy	5.754	states/eV per cell